No. 1
Below is a relaxed AlMo crystal, with properties calculated at the PBE level.

Its crystal system is trigonal. As for the space group: R-3m, No. 166. As for the energy of formation from the pure elements: 58 meV/atom. For the density of states at the Fermi level, the calculation gives 2.91 states/eV/cell. The calculation puts the calculated total energy at -28.917 eV for the cell shown.

Cell lengths 9.3164, 9.3164, 9.3164 Å; angles 17.46, 17.46, 17.46 degrees
Element x y z (fractional)
Al  0.9996  0.9996  0.9996
Mo  0.2516  0.2516  0.2516
Al  0.7504  0.7504  0.7504
Mo  0.4984  0.4984  0.4984

***

No. 2
Below is a relaxed Al8Mo3 crystal, with properties calculated at the PBE level.

Its crystal system is monoclinic. As for the space group: C2/m, No. 12. As for the energy of formation from the pure elements: -341 meV/atom. For the density of states at the Fermi level, the calculation gives 2.24 states/eV/cell. The calculation puts the calculated total energy at -66.188 eV for the cell shown.

Cell lengths 4.9602, 4.9602, 10.0798 Å; angles 79.97, 79.97, 43.20 degrees
Element x y z (fractional)
Al  0.4602  0.4602  0.8207
Al  0.3681  0.3681  0.4582
Al  0.8134  0.8134  0.2777
Al  0.2723  0.2723  0.0901
Al  0.5398  0.5398  0.1793
Al  0.1866  0.1866  0.7223
Mo  0.0946  0.0946  0.3409
Mo  0.0000  0.0000  0.0000
Al  0.7277  0.7277  0.9099
Mo  0.9054  0.9054  0.6591
Al  0.6319  0.6319  0.5418

***

No. 3
Below is a relaxed AlMo crystal, with properties calculated at the PBE level.

Its crystal system is cubic. As for the space group: Pm-3n, No. 223. As for the energy of formation from the pure elements: 2010 meV/atom. For the density of states at the Fermi level, the calculation gives 9.48 states/eV/cell. The calculation puts the calculated total energy at -63.321 eV for the cell shown.

Cell lengths 7.1130, 7.1130, 7.1130 Å; angles 90.00, 90.00, 90.00 degrees
Site moments in Bohr magnetons follow the coordinates.
Element x y z (fractional)
Al  0.5000  0.2500  0.0000  -0.01
Al  0.0000  0.5000  0.7500  -0.01
Mo  0.7500  0.5000  0.0000  1.44
Mo  0.0000  0.2500  0.5000  1.44
Al  0.2500  0.0000  0.5000  -0.01
Al  0.7500  0.0000  0.5000  -0.01
Mo  0.0000  0.7500  0.5000  1.44
Mo  0.5000  0.0000  0.7500  1.44
Al  0.5000  0.7500  0.0000  -0.01
Mo  0.2500  0.5000  0.0000  1.44
Al  0.0000  0.5000  0.2500  -0.01
Mo  0.5000  0.0000  0.2500  1.44

***

No. 4
Below is a relaxed Al3Mo crystal, with properties calculated at the PBE level.

Its crystal system is monoclinic. As for the space group: C2/m, No. 12. As for the energy of formation from the pure elements: -145 meV/atom. For the density of states at the Fermi level, the calculation gives 2.76 states/eV/cell. The calculation puts the calculated total energy at -22.637 eV for the cell shown.

Cell lengths 4.9486, 4.9486, 4.7971 Å; angles 83.61, 83.61, 32.52 degrees
Element x y z (fractional)
Al  0.5000  0.5000  0.5000
Al  0.7419  0.7419  0.7600
Mo  0.0000  0.0000  0.0000
Al  0.2581  0.2581  0.2400